1.
Here is crystalline ScPPb3 at its relaxed geometry from the Alexandria database. Energies are from PBE.

- space-group type = Pm-3m (221)
- D(E_F) (states/eV/cell) = 6.516
- magnetization (μB/cell) = 0.0
- E (eV per formula unit) = -19.02
- formation energy from the elements (meV/atom) = 768.6

Cell: 5.575 5.575 5.575 Å, 90.00 90.00 90.00°
Fractional coordinates of all 5 atoms:
P 0.500 0.500 0.500
Pb 0.000 0.500 0.000
Pb 0.000 0.000 0.500
Pb 0.500 0.000 0.000
Sc 0.000 0.000 0.000

---

2.
Here is crystalline ScPPb2 at its relaxed geometry from the Alexandria database. Energies are from PBE.

- space-group type = P4mm (99)
- D(E_F) (states/eV/cell) = 1.389
- magnetization (μB/cell) = 0.0
- E (eV per formula unit) = -20.83
- formation energy from the elements (meV/atom) = -416.8

Cell: 3.599 3.599 8.296 Å, 90.00 90.00 90.00°
Fractional coordinates of all 4 atoms:
Sc 0.000 0.000 0.599
Pb 0.000 0.000 0.991
Pb 0.500 0.500 0.273
P 0.500 0.500 0.638